The following is a GGA-PBE calculation of an optimized crystal structure of MgTePt, from Alexandria.

Its calculated volume is 21.9 Å³ per atom. The value obtained for the theoretical density is 8.8 Mg/m³. The calculation puts the raw formation energy at -0.51 eV/atom.

Structure (CIF):
```
data_MgTePt
_space_group_name_H-M_alt 'P n m a'
_space_group_IT_number 62
_cell_length_a 7.425
_cell_length_b 4.741
_cell_length_c 7.457
_cell_angle_alpha 90.00
_cell_angle_beta 90.00
_cell_angle_gamma 90.00
loop_
_space_group_symop_operation_xyz
'x,y,z'
'-x,-y,-z'
'-x+1/2,-y,z+1/2'
'x+1/2,y,-z+1/2'
'x+1/2,-y+1/2,-z+1/2'
'-x+1/2,y+1/2,z+1/2'
'-x,y+1/2,-z'
'x,-y+1/2,z'
loop_
_atom_site_label
_atom_site_type_symbol
_atom_site_fract_x
_atom_site_fract_y
_atom_site_fract_z
_atom_site_occupancy
Mg1 Mg 0.081 0.250 0.118 1
Te1 Te 0.121 0.750 0.354 1
Pt1 Pt 0.246 0.250 0.513 1
```